The following is a DFT calculation (PBE) of an optimized crystal structure of Tb6Pm4Nd.

Cell lengths 6.6780, 6.6780, 17.0893 Å; angles 90.00, 90.00, 90.00 degrees
Closest atoms and distances in Å follow each position.
Space group I-42m (No. 121)
Symmetry-distinct sites (fractional):
Tb1 0.0000 0.5000 0.0000 (multiplicity 4)  4 Tb 3.27, 2 Nd 3.34
Tb2 0.1778 0.1778 0.1261 (multiplicity 8)  3 Tb 3.27-3.36, 5 Pm 3.39-3.63
Pm1 0.1898 0.1898 0.3241 (multiplicity 8)  5 Tb 3.39-3.63, 1 Nd 3.50, 1 Pm 3.58
Nd1 0.0000 0.0000 0.5000 (multiplicity 2)  8 Tb 3.34-3.73, 4 Pm 3.50

Values from the calculation:
Mass density: 7.311 g/cm³
Calculated total energy: -4.381 eV/atom
ΔH_f (0 K): 0.306 eV per atom
Relative energy among the computed polymorphs: 0.00 eV per formula unit
M_tot: 0.0 μB/f.u.
Density of states at the Fermi level: 31.83 states/eV/cell